DFT (PBE with a Hubbard U) results for PuMnCo2O8 after structural relaxation.

Results
The space-group type is No. 119. The value obtained for the total energy is -86.22 eV per cell. The value obtained for the spin magnetization is 5.02 μB per cell.

Lattice parameters (Å, degrees): 5.731 5.731 5.731 109.81 109.81 108.79
Atoms (fractional coordinates):
O  0.299  0.499  0.200
O  0.378  0.064  0.314
O  0.749  0.064  0.686
O  0.936  0.622  0.686
O  0.936  0.251  0.314
O  0.299  0.099  0.800
O  0.901  0.701  0.200
O  0.501  0.701  0.800
Co  0.500  0.500  0.000
Co  0.750  0.250  0.500
Mn  0.000  0.000  0.000
Pu  0.250  0.750  0.500

=====

DFT (PBE with a Hubbard U) results for PuMn2CoO6 after structural relaxation.

Results
The space-group type is No. 14. The value obtained for the total energy is -165.45 eV per cell. The value obtained for the spin magnetization is 30.00 μB per cell.

Lattice parameters (Å, degrees): 5.357 5.518 8.039 90.00 90.51 90.00
Atoms (fractional coordinates):
O  0.183  0.189  0.418
O  0.322  0.687  0.439
O  0.317  0.689  0.082
O  0.366  0.919  0.755
O  0.866  0.581  0.255
O  0.683  0.311  0.918
O  0.678  0.313  0.561
O  0.134  0.419  0.745
O  0.178  0.187  0.061
O  0.822  0.813  0.939
O  0.817  0.811  0.582
O  0.634  0.081  0.245
Pu  0.500  0.000  0.000
Pu  0.000  0.500  0.500
Co  0.500  0.000  0.500
Co  0.000  0.500  0.000
Mn  0.010  0.950  0.241
Mn  0.990  0.050  0.759
Mn  0.510  0.550  0.741
Mn  0.490  0.450  0.259

=====

DFT (PBE with a Hubbard U) results for Rb2MnCoO4 after structural relaxation.

Results
The space-group type is No. 70. The value obtained for the total energy is -86.77 eV per cell. The value obtained for the spin magnetization is 8.00 μB per cell.

Lattice parameters (Å, degrees): 4.956 6.489 10.701 84.93 76.61 67.55
Atoms (fractional coordinates):
O  0.495  0.668  0.406
O  0.913  0.832  0.906
O  0.180  0.168  0.906
O  0.098  0.332  0.406
O  0.652  0.168  0.094
O  0.570  0.332  0.594
O  0.255  0.832  0.094
O  0.837  0.668  0.594
Rb  0.826  0.000  0.348
Rb  0.576  0.500  0.848
Rb  0.174  0.000  0.652
Rb  0.924  0.500  0.152
Mn  0.000  0.000  0.000
Mn  0.750  0.500  0.500
Co  0.500  0.000  0.000
Co  0.250  0.500  0.500

=====

DFT (PBE with a Hubbard U) results for Rb2MnCoO after structural relaxation.

Results
The space-group type is No. 123. The value obtained for the total energy is -19.18 eV per cell. The value obtained for the spin magnetization is 7.40 μB per cell.

Lattice parameters (Å, degrees): 6.880 3.581 6.880 90.00 90.00 90.00
Atoms (fractional coordinates):
O  0.000  0.500  0.000
Mn  0.500  0.500  0.500
Rb  0.000  0.000  0.500
Rb  0.500  0.000  0.000
Co  0.000  0.000  0.000

=====

DFT (PBE with a Hubbard U) results for MnCo2RhO6 after structural relaxation.

Results
The space-group type is No. 146. The value obtained for the total energy is -65.08 eV per cell. The value obtained for the spin magnetization is 6.00 μB per cell.

Lattice parameters (Å, degrees): 5.070 5.070 5.405 62.02 62.03 59.99
Atoms (fractional coordinates):
Co  0.008  0.008  0.975
Co  0.523  0.523  0.430
Mn  0.811  0.811  0.567
O  0.210  0.923  0.244
O  0.105  0.400  0.759
O  0.737  0.105  0.759
O  0.923  0.622  0.244
O  0.400  0.737  0.759
O  0.622  0.210  0.244
Rh  0.321  0.321  0.036

=====

DFT (PBE with a Hubbard U) results for MnCoRh2O6 after structural relaxation.

Results
The space-group type is No. 146. The value obtained for the total energy is -66.43 eV per cell. The value obtained for the spin magnetization is 3.96 μB per cell.

Lattice parameters (Å, degrees): 5.101 5.105 5.501 62.31 62.34 59.99
Atoms (fractional coordinates):
O  0.598  0.225  0.241
O  0.706  0.120  0.762
O  0.225  0.937  0.241
O  0.937  0.598  0.240
O  0.413  0.706  0.761
O  0.119  0.413  0.762
Rh  0.517  0.517  0.449
Rh  0.012  0.012  0.963
Mn  0.813  0.813  0.562
Co  0.322  0.322  0.034

=====

DFT (PBE with a Hubbard U) results for MnCoRuO6 after structural relaxation.

Results
The space-group type is No. 102. The value obtained for the total energy is -121.48 eV per cell. The value obtained for the spin magnetization is 4.19 μB per cell.

Lattice parameters (Å, degrees): 4.471 4.471 8.905 90.00 90.00 90.00
Atoms (fractional coordinates):
O  0.806  0.194  0.832
O  0.306  0.306  0.003
O  0.694  0.694  0.332
O  0.306  0.306  0.332
O  0.199  0.801  0.164
O  0.194  0.806  0.503
O  0.806  0.194  0.503
O  0.801  0.199  0.164
O  0.694  0.694  0.003
O  0.194  0.806  0.832
O  0.301  0.301  0.664
O  0.699  0.699  0.664
Mn  0.000  0.000  0.001
Mn  0.500  0.500  0.501
Ru  0.000  0.000  0.333
Ru  0.500  0.500  0.833
Co  0.000  0.000  0.667
Co  0.500  0.500  0.167

=====

DFT (PBE with a Hubbard U) results for MnCo2SbO8 after structural relaxation.

Results
The space-group type is No. 119. The value obtained for the total energy is -71.12 eV per cell. The value obtained for the spin magnetization is 9.97 μB per cell.

Lattice parameters (Å, degrees): 5.626 5.626 5.626 108.92 108.92 110.58
Atoms (fractional coordinates):
O  0.747  0.052  0.696
O  0.948  0.253  0.304
O  0.303  0.117  0.814
O  0.510  0.697  0.814
O  0.948  0.644  0.696
O  0.883  0.697  0.186
O  0.356  0.052  0.304
O  0.303  0.490  0.186
Co  0.750  0.250  0.500
Co  0.500  0.500  0.000
Mn  0.250  0.750  0.500
Sb  0.000  0.000  0.000

=====

DFT (PBE with a Hubbard U) results for Mn3Co3Sb2O16 after structural relaxation.

Results
The space-group type is No. 1. The value obtained for the total energy is -152.08 eV per cell. The value obtained for the spin magnetization is 14.01 μB per cell.

Lattice parameters (Å, degrees): 5.796 5.805 9.272 90.31 90.10 119.79
Atoms (fractional coordinates):
Sb  0.671  0.334  0.487
Sb  0.337  0.664  0.991
Mn  0.170  0.334  0.714
Mn  0.336  0.172  0.213
Mn  0.171  0.831  0.714
O  0.502  0.473  0.343
O  0.159  0.325  0.100
O  0.472  0.501  0.842
O  0.994  0.001  0.306
O  0.477  0.961  0.839
O  0.677  0.840  0.102
O  0.335  0.663  0.610
O  0.519  0.037  0.333
O  0.999  0.998  0.809
O  0.331  0.161  0.603
O  0.669  0.343  0.113
O  0.171  0.840  0.099
O  0.840  0.671  0.600
O  0.034  0.516  0.835
O  0.963  0.484  0.334
O  0.842  0.168  0.598
Co  0.830  0.175  0.213
Co  0.832  0.673  0.210
Co  0.668  0.832  0.708

=====

DFT (PBE with a Hubbard U) results for MnCoSeO6 after structural relaxation.

Results
The space-group type is No. 163. The value obtained for the total energy is -107.94 eV per cell. The value obtained for the spin magnetization is 7.97 μB per cell.

Lattice parameters (Å, degrees): 4.838 4.838 9.175 90.00 90.00 120.00
Atoms (fractional coordinates):
O  0.362  0.370  0.363
O  0.630  0.992  0.363
O  0.370  0.362  0.863
O  0.362  0.992  0.137
O  0.638  0.008  0.863
O  0.370  0.008  0.637
O  0.008  0.370  0.137
O  0.630  0.638  0.137
O  0.992  0.630  0.863
O  0.008  0.638  0.363
O  0.638  0.630  0.637
O  0.992  0.362  0.637
Mn  0.000  0.000  0.000
Mn  0.000  0.000  0.500
Se  0.333  0.667  0.250
Se  0.667  0.333  0.750
Co  0.333  0.667  0.750
Co  0.667  0.333  0.250

=====

DFT (PBE with a Hubbard U) results for MnCoSeO2 after structural relaxation.

Results
The space-group type is No. 123. The value obtained for the total energy is -27.46 eV per cell. The value obtained for the spin magnetization is 5.97 μB per cell.

Lattice parameters (Å, degrees): 3.634 7.524 3.634 90.00 90.00 90.00
Atoms (fractional coordinates):
Mn  0.000  0.000  0.000
Co  0.000  0.500  0.000
O  0.000  0.000  0.500
O  0.500  0.000  0.000
Se  0.500  0.500  0.500

=====

DFT (PBE with a Hubbard U) results for Mn2CoSiO4 after structural relaxation.

Results
The space-group type is No. 42. The value obtained for the total energy is -57.46 eV per cell. The value obtained for the spin magnetization is 12.02 μB per cell.

Lattice parameters (Å, degrees): 4.782 4.782 5.616 114.58 114.58 91.31
Atoms (fractional coordinates):
Mn  0.756  0.256  0.512
Mn  0.256  0.756  0.512
O  0.406  0.807  0.213
O  0.192  0.192  0.787
O  0.596  0.596  0.787
O  0.807  0.406  0.213
Si  0.502  0.502  0.004
Co  0.986  0.986  0.972

=====

DFT (PBE with a Hubbard U) results for MnCo2SiO6 after structural relaxation.

Results
The space-group type is No. 1. The value obtained for the total energy is -68.81 eV per cell. The value obtained for the spin magnetization is 6.99 μB per cell.

Lattice parameters (Å, degrees): 4.843 4.955 5.456 60.34 62.42 59.82
Atoms (fractional coordinates):
Co  0.539  0.519  0.414
Co  0.009  0.008  0.978
Mn  0.804  0.819  0.566
O  0.696  0.125  0.787
O  0.210  0.957  0.239
O  0.973  0.578  0.220
O  0.401  0.716  0.778
O  0.595  0.203  0.235
O  0.110  0.410  0.773
Si  0.324  0.326  0.026

=====

DFT (PBE with a Hubbard U) results for Mn3Co3Sn2O16 after structural relaxation.

Results
The space-group type is No. 8. The value obtained for the total energy is -151.66 eV per cell. The value obtained for the spin magnetization is 0.12 μB per cell.

Lattice parameters (Å, degrees): 5.740 5.740 9.430 88.93 88.93 60.18
Atoms (fractional coordinates):
O  0.968  0.512  0.671
O  0.033  0.478  0.173
O  0.317  0.844  0.393
O  0.332  0.332  0.392
O  0.003  0.003  0.185
O  0.159  0.685  0.894
O  0.484  0.484  0.167
O  0.844  0.317  0.393
O  0.478  0.033  0.173
O  0.841  0.841  0.397
O  0.665  0.665  0.891
O  0.685  0.159  0.894
O  0.157  0.157  0.889
O  0.004  0.004  0.686
O  0.517  0.517  0.679
O  0.512  0.968  0.671
Co  0.167  0.167  0.290
Co  0.335  0.833  0.789
Co  0.833  0.335  0.789
Mn  0.168  0.665  0.285
Mn  0.833  0.833  0.784
Mn  0.665  0.168  0.285
Sn  0.666  0.666  0.510
Sn  0.332  0.332  0.007

=====

DFT (PBE with a Hubbard U) results for SrMnCoO2 after structural relaxation.

Results
The space-group type is No. 123. The value obtained for the total energy is -25.90 eV per cell. The value obtained for the spin magnetization is 7.10 μB per cell.

Lattice parameters (Å, degrees): 4.253 4.342 4.253 90.00 90.00 90.00
Atoms (fractional coordinates):
Sr  0.500  0.500  0.500
O  0.500  0.000  0.000
O  0.000  0.000  0.500
Co  0.000  0.000  0.000
Mn  0.000  0.500  0.000

=====

DFT (PBE with a Hubbard U) results for SrMnCo2O after structural relaxation.

Results
The space-group type is No. 123. The value obtained for the total energy is -13.92 eV per cell. The value obtained for the spin magnetization is 2.30 μB per cell.

Lattice parameters (Å, degrees): 5.701 6.980 5.701 90.00 90.00 90.00
Atoms (fractional coordinates):
Mn  0.000  0.500  0.000
O  0.500  0.500  0.500
Co  0.000  0.000  0.500
Co  0.500  0.000  0.000
Sr  0.000  0.000  0.000

=====

DFT (PBE with a Hubbard U) results for TaMnCoO6 after structural relaxation.

Results
The space-group type is No. 102. The value obtained for the total energy is -139.80 eV per cell. The value obtained for the spin magnetization is 5.98 μB per cell.

Lattice parameters (Å, degrees): 4.572 4.572 8.883 90.00 90.00 90.00
Atoms (fractional coordinates):
O  0.188  0.812  0.166
O  0.312  0.312  0.666
O  0.301  0.301  0.999
O  0.199  0.801  0.499
O  0.201  0.799  0.835
O  0.701  0.701  0.335
O  0.688  0.688  0.666
O  0.799  0.201  0.835
O  0.801  0.199  0.499
O  0.812  0.188  0.166
O  0.299  0.299  0.335
O  0.699  0.699  0.999
Co  0.000  0.000  0.000
Co  0.500  0.500  0.500
Ta  0.000  0.000  0.669
Ta  0.500  0.500  0.169
Mn  0.500  0.500  0.833
Mn  0.000  0.000  0.333

=====

DFT (PBE with a Hubbard U) results for TaMnCo2O6 after structural relaxation.

Results
The space-group type is No. 146. The value obtained for the total energy is -76.67 eV per cell. The value obtained for the spin magnetization is 8.00 μB per cell.

Lattice parameters (Å, degrees): 5.199 5.200 5.534 61.96 61.98 60.00
Atoms (fractional coordinates):
Co  0.028  0.027  0.918
Co  0.509  0.509  0.474
O  0.589  0.255  0.247
O  0.142  0.408  0.747
O  0.702  0.142  0.747
O  0.409  0.702  0.747
O  0.255  0.909  0.247
O  0.909  0.589  0.247
Mn  0.811  0.811  0.567
Ta  0.308  0.308  0.075

=====

DFT (PBE with a Hubbard U) results for Tb2MnCoO6 after structural relaxation.

Results
The space-group type is No. 14. The value obtained for the total energy is -151.51 eV per cell. The value obtained for the spin magnetization is 8.00 μB per cell.

Lattice parameters (Å, degrees): 5.301 5.672 7.399 90.00 89.15 90.00
Atoms (fractional coordinates):
O  0.104  0.468  0.750
O  0.896  0.532  0.250
O  0.396  0.968  0.750
O  0.798  0.813  0.948
O  0.812  0.799  0.551
O  0.298  0.687  0.448
O  0.688  0.299  0.949
O  0.604  0.032  0.250
O  0.312  0.701  0.051
O  0.702  0.313  0.552
O  0.188  0.201  0.449
O  0.202  0.187  0.052
Mn  0.000  0.500  0.000
Mn  0.500  0.000  0.500
Co  0.000  0.500  0.500
Co  0.500  0.000  0.000
Tb  0.020  0.926  0.250
Tb  0.480  0.426  0.250
Tb  0.520  0.574  0.750
Tb  0.980  0.074  0.750